Entry 1:
VASP calculation (GGA-PBE) on a relaxed structure of Pa2FePd.

Cell and atoms, written as extended XYZ:
```
4
Lattice="1.7465 1.0084 8.5535 -1.7465 1.0084 8.5535 0.0000 -2.0167 8.5535" Properties=species:S:1:pos:R:3 pbc="T T T"
Pa 0.0000 0.0000 2.6698
Pa 0.0000 0.0000 22.9909
Fe 0.0000 0.0000 12.8303
Pd 0.0000 0.0000 0.0000
```

Output
The space group is No. 166. Its energy of formation is 137 meV/atom. For the electronic total energy, the calculation gives -8.025 eV/atom.

Entry 2:
VASP calculation (GGA-PBE) on a relaxed structure of PaFe2Pd.

Cell and atoms, written as extended XYZ:
```
4
Lattice="4.0486 0.0000 0.0000 0.0000 4.0486 0.0000 0.0000 0.0000 3.7868" Properties=species:S:1:pos:R:3 pbc="T T T"
Pa 0.0000 0.0000 0.0000
Fe 0.0000 2.0243 1.8934
Fe 2.0243 0.0000 1.8934
Pd 2.0243 2.0243 0.0000
```

Output
The space group is No. 123. Its energy of formation is -226 meV/atom. For the electronic total energy, the calculation gives -8.130 eV/atom.

Entry 3:
VASP calculation (GGA-PBE) on a relaxed structure of Pa2FePdS5.

Cell and atoms, written as extended XYZ:
```
18
Lattice="1.8903 -7.5922 0.0000 1.8903 7.5922 0.0000 0.0000 0.0000 11.4148" Properties=species:S:1:pos:R:3 pbc="T T T"
Pa 1.8903 6.3600 5.7074
Pa 1.8903 5.0938 1.7453
Pa 1.8903 -5.0938 7.4527
Pa 1.8903 -6.3600 0.0000
Fe 1.8903 0.2223 2.8199
Fe 1.8903 -0.2223 8.5273
Pd 1.8903 4.3450 10.0006
Pd 1.8903 -4.3450 4.2933
S 1.8903 6.7629 9.5664
S 1.8903 3.5765 5.7904
S 1.8903 2.2195 1.7992
S 1.8903 1.9576 9.4325
S 1.8903 0.6432 6.5274
S 1.8903 -0.6432 0.8200
S 1.8903 -1.9576 3.7251
S 1.8903 -2.2195 7.5066
S 1.8903 -3.5765 0.0830
S 1.8903 -6.7629 3.8590
```

Output
The space group is No. 36. For the electronic total energy, the calculation gives -6.988 eV/atom. The calculation puts the formation energy without anion corrections at -9.61 eV/f.u.

| no. | total moment (μB per atom) | volume (Å³/cell) |
| --- | --- | --- |
| 1 | 0.1438 | 90.4 |
| 2 | 0.6217 | 62.1 |
| 3 | 0.0008 | 327.6 |